1.
DFT (PBE) results for a relaxed structure of YThCBr.

Crystal system: monoclinic
Fermi-level density of states (states/eV/cell): 1.12
ΔE_f (raw) (eV/atom): -0.884

extended XYZ file:
```
4
Lattice="3.680 -0.005 0.001 -1.844 3.192 0.000 -1.836 -1.060 7.547" Properties=species:S:1:pos:R:3 pbc="T T T"
C -1.492 0.832 6.478
Br 2.188 0.828 2.895
Y 0.350 -0.233 5.156
Th -1.497 2.959 0.337
```


2.
DFT (PBE) results for a relaxed structure of Ti3CBr3.

Crystal system: trigonal
Fermi-level density of states (states/eV/cell): 6.43
ΔE_f (raw) (eV/atom): -0.964

extended XYZ file:
```
14
Lattice="-4.155 4.066 0.230 -1.901 1.927 5.149 4.957 9.130 1.699" Properties=species:S:1:pos:R:3 pbc="T T T"
Ti 0.845 11.641 3.712
Ti -1.945 3.483 3.367
Ti 2.692 9.809 1.793
Ti 2.972 9.578 5.005
Ti -3.792 5.314 5.287
Ti -4.071 5.546 2.075
C 2.938 11.128 3.493
C -4.037 3.996 3.587
Br -1.240 5.331 5.198
Br 0.292 9.690 5.262
Br 0.141 9.793 1.881
Br -1.391 5.434 1.817
Br -3.408 7.431 3.663
Br 2.309 7.693 3.416
```


Which formula does entry 2 have?
Ti3CBr3